The following is a PBE-GGA calculation of Pm6Si2AuI3 after structural relaxation, from the Alexandria database.

Unit cell a=7.5068 b=13.0221 c=7.9161 alpha=90.00 beta=108.60 gamma=90.00
Last column: nearest neighbours and their distance in Å.
Space group C2/m (No. 12)
Unique sites:
Pm  0.2266  0.0000  0.2052 [4 per cell]  2 Si 2.91, 1 Au 3.00
Pm  0.2375  0.3296  0.2031 [8 per cell]  2 Si 2.91, 1 Au 2.98
Si  0.0000  0.1661  0.0000 [4 per cell]  6 Pm 2.91
Au  0.0000  0.5000  0.0000 [2 per cell]  6 Pm 2.98-3.00
I  0.0000  0.0000  0.5000 [2 per cell]  6 Pm 3.30-3.37
I  0.0000  0.3314  0.5000 [4 per cell]  6 Pm 3.29-3.38

Computed properties:
For the volume, the calculation gives 733.40 Å³ per cell. The value obtained for the uncorrected formation energy is -10.61 eV per formula unit. The density of states at the Fermi level is 17.17 states/eV per cell. As for the total energy: -4.82 eV/atom.